--- A ---
A plane-wave DFT calculation with SCAN was carried out for a PBEsol-optimized structure of Cd2InGe2.

Lattice parameters (Å, degrees): 4.5112 4.5112 11.2340 90.00 90.00 90.00
Closest atoms and distances in Å follow each position.
Positions (direct):
Cd 0.0000 0.5000 0.2500  4 Ge 2.76
Cd 0.0000 0.5000 0.7500  4 Ge 2.76
Cd 0.5000 0.0000 0.2500  4 Ge 2.76
Cd 0.5000 0.0000 0.7500  4 Ge 2.76
In 0.0000 0.0000 0.0000  8 Ge 3.41, 8 Cd 3.60
In 0.5000 0.5000 0.5000  8 Ge 3.41, 8 Cd 3.60
Ge 0.0000 0.0000 0.3919  1 Ge 2.43
Ge 0.0000 0.0000 0.6081  1 Ge 2.43
Ge 0.5000 0.5000 0.1081  1 Ge 2.43
Ge 0.5000 0.5000 0.8919  1 Ge 2.43

The value obtained for the volume is 228.6 Å³ per cell.

***

--- B ---
A plane-wave DFT calculation with SCAN was carried out for a PBEsol-optimized structure of Cd2InGe2.

Lattice parameters (Å, degrees): 3.9500 3.9500 14.2125 90.00 90.00 90.00
Closest atoms and distances in Å follow each position.
Positions (direct):
Cd 0.0000 0.0000 0.1010  1 Cd 2.87, 4 Ge 2.90, 4 In 3.14
Cd 0.0000 0.0000 0.8990  1 Cd 2.87, 4 Ge 2.90, 4 In 3.14
Cd 0.5000 0.5000 0.3990  1 Cd 2.87, 4 Ge 2.90, 4 In 3.14
Cd 0.5000 0.5000 0.6010  1 Cd 2.87, 4 Ge 2.90, 4 In 3.14
In 0.0000 0.0000 0.5000  8 Cd 3.14
In 0.5000 0.5000 0.0000  8 Cd 3.14
Ge 0.0000 0.5000 0.2500  4 Ge 2.79, 4 Cd 2.90
Ge 0.0000 0.5000 0.7500  4 Ge 2.79, 4 Cd 2.90
Ge 0.5000 0.0000 0.2500  4 Ge 2.79, 4 Cd 2.90
Ge 0.5000 0.0000 0.7500  4 Ge 2.79, 4 Cd 2.90

The value obtained for the volume is 221.8 Å³ per cell.

***

Relative energy table, unit kJ/mol of atoms: A 0.0; B 4.4